This record from the Alexandria database describes a relaxed NiPdRu3 crystal. The functional is PBE-GGA.

The energy above the most stable polymorph in this dataset is 0 meV/atom. The calculation puts the density of states at the Fermi level at 1.318 states/eV/atom.

Structure (CIF):
```
data_NiPdRu3
_space_group_name_H-M_alt 'P m -3 m'
_space_group_IT_number 221
_space_group_name_Hall '-P 4 2 3'
_cell_length_a 4.437
_cell_length_b 4.437
_cell_length_c 4.437
_cell_angle_alpha 90.00
_cell_angle_beta 90.00
_cell_angle_gamma 90.00
loop_
_atom_site_label
_atom_site_fract_x
_atom_site_fract_y
_atom_site_fract_z
Ni1 0.000 0.000 0.000
Pd1 0.500 0.500 0.500
Ru1 0.000 0.000 0.500
```

***

This record from the Alexandria database describes a relaxed HfVZn4 crystal. The functional is PBE-GGA.

The calculation puts the density of states at the Fermi level at 0.576 states/eV/atom.

Structure (CIF):
```
data_HfVZn4
_space_group_name_H-M_alt 'F -4 3 m'
_space_group_IT_number 216
_space_group_name_Hall 'F -4 2 3'
_cell_length_a 7.174
_cell_length_b 7.174
_cell_length_c 7.174
_cell_angle_alpha 90.00
_cell_angle_beta 90.00
_cell_angle_gamma 90.00
loop_
_atom_site_label
_atom_site_fract_x
_atom_site_fract_y
_atom_site_fract_z
Hf1 0.000 0.000 0.000
V1 0.250 0.250 0.250
Zn1 0.125 0.125 0.625
```

***

This record from the Alexandria database describes a relaxed CrHgBr crystal. The functional is PBE-GGA.

The value obtained for the uncorrected formation energy is 0.181 eV/atom. The energy above the most stable polymorph in this dataset is 125 meV/atom. The calculation puts the density of states at the Fermi level at 0.195 states/eV/atom.

Structure (CIF):
```
data_CrHgBr
_space_group_name_H-M_alt 'F -4 3 m'
_space_group_IT_number 216
_space_group_name_Hall 'F -4 2 3'
_cell_length_a 6.880
_cell_length_b 6.880
_cell_length_c 6.880
_cell_angle_alpha 90.00
_cell_angle_beta 90.00
_cell_angle_gamma 90.00
loop_
_atom_site_label
_atom_site_fract_x
_atom_site_fract_y
_atom_site_fract_z
Cr1 0.000 0.000 0.000
Hg1 0.250 0.250 0.750
Br1 0.250 0.250 0.250
```

***

This record from the Alexandria database describes a relaxed Tl12Sn5Bi3 crystal. The functional is PBE-GGA.

The calculation puts the density of states at the Fermi level at 0.818 states/eV/atom.

Structure (CIF):
```
data_Tl12Sn5Bi3
_space_group_name_H-M_alt 'I a -3 d'
_space_group_IT_number 230
_space_group_name_Hall '-I 4bd 2c 3'
_cell_length_a 18.167
_cell_length_b 18.167
_cell_length_c 18.167
_cell_angle_alpha 90.00
_cell_angle_beta 90.00
_cell_angle_gamma 90.00
loop_
_atom_site_label
_atom_site_fract_x
_atom_site_fract_y
_atom_site_fract_z
Tl1 0.020 0.076 0.650
Sn1 0.000 0.000 0.000
Sn2 0.000 0.250 0.375
Bi1 0.000 0.250 0.125
```

***

This record from the Alexandria database describes a relaxed CaMn2Br6 crystal. The functional is PBE-GGA.

The value obtained for the uncorrected formation energy is -1.162 eV/atom. The energy above the most stable polymorph in this dataset is 0 meV/atom. The calculation puts the density of states at the Fermi level at 0.000 states/eV/atom.

Structure (CIF):
```
data_CaMn2Br6
_space_group_name_H-M_alt 'C 1 2/c 1'
_space_group_IT_number 15
_space_group_name_Hall '-C 2yc'
_cell_length_a 13.715
_cell_length_b 12.543
_cell_length_c 7.359
_cell_angle_alpha 90.00
_cell_angle_beta 101.42
_cell_angle_gamma 90.00
loop_
_atom_site_label
_atom_site_fract_x
_atom_site_fract_y
_atom_site_fract_z
Ca1 0.000 0.108 0.250
Mn1 0.193 0.420 0.306
Br1 0.116 0.075 0.629
Br2 0.132 0.256 0.132
Br3 0.133 0.420 0.608
```

***

This record from the Alexandria database describes a relaxed Ba2Sr3Si4 crystal. The functional is PBE-GGA.

The value obtained for the uncorrected formation energy is -0.390 eV/atom. The calculation puts the density of states at the Fermi level at 1.238 states/eV/atom.

Structure (CIF):
```
data_Ba2Sr3Si4
_space_group_name_H-M_alt 'P 1 21/c 1'
_space_group_IT_number 14
_space_group_name_Hall '-P 2ybc'
_cell_length_a 8.671
_cell_length_b 8.476
_cell_length_c 8.226
_cell_angle_alpha 90.00
_cell_angle_beta 103.86
_cell_angle_gamma 90.00
loop_
_atom_site_label
_atom_site_fract_x
_atom_site_fract_y
_atom_site_fract_z
Ba1 0.201 0.178 0.099
Sr1 0.242 0.683 0.253
Sr2 0.500 0.000 0.500
Si1 0.074 0.525 0.899
Si2 0.498 0.602 0.602
```

***

This record from the Alexandria database describes a relaxed Zn3Cu3Pd2 crystal. The functional is PBE-GGA.

The calculation puts the density of states at the Fermi level at 0.475 states/eV/atom.

Structure (CIF):
```
data_Zn3Cu3Pd2
_space_group_name_H-M_alt 'P m m m'
_space_group_IT_number 47
_space_group_name_Hall '-P 2 2'
_cell_length_a 3.801
_cell_length_b 3.863
_cell_length_c 7.406
_cell_angle_alpha 90.00
_cell_angle_beta 90.00
_cell_angle_gamma 90.00
loop_
_atom_site_label
_atom_site_fract_x
_atom_site_fract_y
_atom_site_fract_z
Zn1 0.000 0.000 0.000
Zn2 0.000 0.000 0.500
Zn3 0.500 0.500 0.000
Cu1 0.000 0.500 0.254
Cu2 0.500 0.500 0.500
Pd1 0.500 0.000 0.250
```

***

This record from the Alexandria database describes a relaxed Ac6Ge5Cl crystal. The functional is PBE-GGA.

The value obtained for the uncorrected formation energy is -0.836 eV/atom. The calculation puts the density of states at the Fermi level at 0.970 states/eV/atom.

Structure (CIF):
```
data_Ac6Ge5Cl
_space_group_name_H-M_alt 'C 1 2/m 1'
_space_group_IT_number 12
_space_group_name_Hall '-C 2y'
_cell_length_a 7.907
_cell_length_b 13.802
_cell_length_c 7.887
_cell_angle_alpha 90.00
_cell_angle_beta 109.73
_cell_angle_gamma 90.00
loop_
_atom_site_label
_atom_site_fract_x
_atom_site_fract_y
_atom_site_fract_z
Ac1 0.246 0.168 0.243
Ac2 0.248 0.000 0.750
Ge1 0.000 0.000 0.000
Ge2 0.000 0.168 0.500
Ge3 0.000 0.338 0.000
Cl1 0.000 0.500 0.500
```

***

This record from the Alexandria database describes a relaxed CdPt crystal. The functional is PBE-GGA.

The calculation puts the density of states at the Fermi level at 0.391 states/eV/atom.

Structure (CIF):
```
data_CdPt
_space_group_name_H-M_alt 'C 1 2/m 1'
_space_group_IT_number 12
_space_group_name_Hall '-C 2y'
_cell_length_a 10.228
_cell_length_b 2.934
_cell_length_c 4.928
_cell_angle_alpha 90.00
_cell_angle_beta 103.67
_cell_angle_gamma 90.00
loop_
_atom_site_label
_atom_site_fract_x
_atom_site_fract_y
_atom_site_fract_z
Cd1 0.106 0.000 0.319
Pt1 0.142 0.500 0.834
```

***

This record from the Alexandria database describes a relaxed Na3LiTh3O8 crystal. The functional is PBE-GGA.

The value obtained for the uncorrected formation energy is -2.724 eV/atom. The calculation puts the density of states at the Fermi level at 0.000 states/eV/atom.

Structure (CIF):
```
data_Na3LiTh3O8
_space_group_name_H-M_alt 'R -3 m'
_space_group_IT_number 166
_space_group_name_Hall '-R 3 2"'
_cell_length_a 7.1705
_cell_length_b 7.1705
_cell_length_c 16.5902
_cell_angle_alpha 90.00
_cell_angle_beta 90.00
_cell_angle_gamma 120.00
loop_
_atom_site_label
_atom_site_fract_x
_atom_site_fract_y
_atom_site_fract_z
Na1 0.0000 0.5000 0.0000
Li1 0.0000 0.0000 0.5000
Th1 0.0000 0.5000 0.5000
O1 0.0000 0.0000 0.2417
O2 0.0116 0.5058 0.7682
```

***

This record from the Alexandria database describes a relaxed SmPuGaIr crystal. The functional is PBE-GGA.

The calculation puts the density of states at the Fermi level at 1.917 states/eV/atom.

Structure (CIF):
```
data_SmPuGaIr
_space_group_name_H-M_alt 'F -4 3 m'
_space_group_IT_number 216
_space_group_name_Hall 'F -4 2 3'
_cell_length_a 7.080
_cell_length_b 7.080
_cell_length_c 7.080
_cell_angle_alpha 90.00
_cell_angle_beta 90.00
_cell_angle_gamma 90.00
loop_
_atom_site_label
_atom_site_fract_x
_atom_site_fract_y
_atom_site_fract_z
Sm1 0.000 0.000 0.000
Pu1 0.000 0.000 0.500
Ga1 0.250 0.250 0.250
Ir1 0.250 0.250 0.750
```

***

This record from the Alexandria database describes a relaxed ZrCu2Ag crystal. The functional is PBE-GGA.

The energy above the most stable polymorph in this dataset is 59 meV/atom. The calculation puts the density of states at the Fermi level at 0.422 states/eV/atom.

Structure (CIF):
```
data_ZrCu2Ag
_space_group_name_H-M_alt 'P 4 m m'
_space_group_IT_number 99
_space_group_name_Hall 'P 4 -2'
_cell_length_a 3.105
_cell_length_b 3.105
_cell_length_c 6.722
_cell_angle_alpha 90.00
_cell_angle_beta 90.00
_cell_angle_gamma 90.00
loop_
_atom_site_label
_atom_site_fract_x
_atom_site_fract_y
_atom_site_fract_z
Zr1 0.000 0.000 0.000
Cu1 0.000 0.000 0.557
Cu2 0.500 0.500 0.739
Ag1 0.500 0.500 0.320
```

***

Number 1: calculated total energy -31.4 eV per formula unit. Number 2: calculated total energy -24.8 eV per formula unit. Number 3: calculated total energy -11.1 eV per formula unit. Number 4: calculated total energy -56.0 eV per formula unit. Number 5: calculated total energy -40.8 eV per formula unit. Number 6: calculated total energy -34.1 eV per formula unit. Number 7: calculated total energy -28.8 eV per formula unit. Number 8: calculated total energy -59.6 eV per formula unit. Number 9: calculated total energy -7.5 eV per formula unit. Number 10: calculated total energy -108.7 eV per formula unit. Number 11: calculated total energy -32.6 eV per formula unit. Number 12: calculated total energy -19.6 eV per formula unit.